(1)
Computed, not measured: a geometry-optimized MgCoTc2C structure at the PBE-GGA level of DFT.

The structure in CIF format:
```
data_MgCoTc2C
_chemical_formula_sum 'Mg1 Co1 Tc2 C1'
_cell_length_a 4.0964
_cell_length_b 4.0964
_cell_length_c 3.8378
_cell_angle_alpha 90.00
_cell_angle_beta 90.00
_cell_angle_gamma 90.00
_space_group_name_H-M_alt 'P 4/m m m'
_space_group_IT_number 123
_space_group_name_Hall '-P 4 2'
loop_
_atom_site_label
_atom_site_fract_x
_atom_site_fract_y
_atom_site_fract_z
Mg1 0.0000 0.0000 0.0000
Co1 0.5000 0.5000 0.0000
Tc1 0.0000 0.5000 0.5000
C1 0.5000 0.5000 0.5000
```

Calculated volume ... 64.4 Å³ per cell
Formation enthalpy at 0 K ... 0.13 eV/atom
Total moment ... 1.2 μB/f.u.

(2)
Computed, not measured: a geometry-optimized In8GaHg5 structure at the PBE-GGA level of DFT.

The structure in CIF format:
```
data_In8GaHg5
_chemical_formula_sum 'In16 Ga2 Hg10'
_cell_length_a 15.2289
_cell_length_b 6.5762
_cell_length_c 10.5444
_cell_angle_alpha 90.00
_cell_angle_beta 133.81
_cell_angle_gamma 90.00
_space_group_name_H-M_alt 'C 1 2 1'
_space_group_IT_number 5
loop_
_space_group_symop_operation_xyz
'x,y,z'
'-x,y,-z'
'x+1/2,y+1/2,z'
'-x+1/2,y+1/2,-z'
loop_
_atom_site_label
_atom_site_fract_x
_atom_site_fract_y
_atom_site_fract_z
In1 0.0632 0.0000 0.2303
In2 0.1168 0.3498 0.8495
In3 0.1605 0.7433 0.0984
In4 0.2415 0.8921 0.6235
Ga1 0.0000 0.1165 0.5000
Hg1 0.0000 0.3689 0.0000
Hg2 0.1191 0.7904 0.7579
Hg3 0.1380 0.4587 0.5263
```

Calculated volume ... 762.1 Å³ per cell
Formation enthalpy at 0 K ... 0.05 eV/atom
Total moment ... 0.0 μB/f.u.

(3)
Computed, not measured: a geometry-optimized LaScAsO5 structure at the PBE-GGA level of DFT.

The structure in CIF format:
```
data_LaScAsO5
_chemical_formula_sum 'La4 Sc4 As4 O20'
_cell_length_a 7.3781
_cell_length_b 9.1127
_cell_length_c 7.8521
_cell_angle_alpha 90.00
_cell_angle_beta 117.42
_cell_angle_gamma 90.00
_space_group_name_H-M_alt 'C 1 2/c 1'
_space_group_IT_number 15
loop_
_space_group_symop_operation_xyz
'x,y,z'
'-x,-y,-z'
'-x,y,-z+1/2'
'x,-y,z+1/2'
'x+1/2,y+1/2,z'
'-x+1/2,-y+1/2,-z'
'-x+1/2,y+1/2,-z+1/2'
'x+1/2,-y+1/2,z+1/2'
loop_
_atom_site_label
_atom_site_fract_x
_atom_site_fract_y
_atom_site_fract_z
La1 0.0000 0.1847 0.2500
Sc1 0.0000 0.5000 0.0000
As1 0.0000 0.1917 0.7500
O1 0.0000 0.4341 0.2500
O2 0.1104 0.2761 0.5881
O3 0.1836 0.0620 0.9021
```

Calculated volume ... 468.6 Å³ per cell
Formation energy without anion corrections ... -2.5572 eV/atom
Total moment ... 0.8 μB/f.u.

(4)
Computed, not measured: a geometry-optimized Tb3Ag4Au2 structure at the PBE-GGA level of DFT.

The structure in CIF format:
```
data_Tb3Ag4Au2
_chemical_formula_sum 'Tb12 Ag16 Au8'
_cell_length_a 14.0017
_cell_length_b 10.9698
_cell_length_c 5.3107
_cell_angle_alpha 90.00
_cell_angle_beta 101.10
_cell_angle_gamma 90.00
_space_group_name_H-M_alt 'C 1 2/c 1'
_space_group_IT_number 15
loop_
_space_group_symop_operation_xyz
'x,y,z'
'-x,-y,-z'
'-x,y,-z+1/2'
'x,-y,z+1/2'
'x+1/2,y+1/2,z'
'-x+1/2,-y+1/2,-z'
'-x+1/2,y+1/2,-z+1/2'
'x+1/2,-y+1/2,z+1/2'
loop_
_atom_site_label
_atom_site_fract_x
_atom_site_fract_y
_atom_site_fract_z
Tb1 0.0000 0.1190 0.2500
Tb2 0.1687 0.3717 0.0737
Ag1 0.0568 0.3790 0.5162
Ag2 0.2232 0.1245 0.3730
Au1 0.1119 0.1292 0.8152
```

Calculated volume ... 800.4 Å³ per cell
Formation enthalpy at 0 K ... -0.40 eV/atom
Total moment ... 0.0 μB/f.u.

(5)
Computed, not measured: a geometry-optimized TcTe2P structure at the PBE-GGA level of DFT.

The structure in CIF format:
```
data_TcTe2P
_chemical_formula_sum 'Tc2 Te4 P2'
_cell_length_a 3.1743
_cell_length_b 4.8904
_cell_length_c 11.8032
_cell_angle_alpha 90.00
_cell_angle_beta 90.00
_cell_angle_gamma 90.00
_space_group_name_H-M_alt 'I m m 2'
_space_group_IT_number 44
loop_
_space_group_symop_operation_xyz
'x,y,z'
'-x,-y,z'
'-x,y,z'
'x,-y,z'
'x+1/2,y+1/2,z+1/2'
'-x+1/2,-y+1/2,z+1/2'
'-x+1/2,y+1/2,z+1/2'
'x+1/2,-y+1/2,z+1/2'
loop_
_atom_site_label
_atom_site_fract_x
_atom_site_fract_y
_atom_site_fract_z
Tc1 0.0000 0.0000 0.0000
Te1 0.0000 0.0000 0.5184
Te2 0.0000 0.5000 0.3034
P1 0.0000 0.5000 0.6505
```

Calculated volume ... 183.2 Å³ per cell
Formation energy without anion corrections ... 0.2655 eV/atom
Total moment ... 0.0 μB/f.u.

(6)
Computed, not measured: a geometry-optimized Ce3Pm2NdTe6 structure at the PBE-GGA level of DFT.

The structure in CIF format:
```
data_Ce3Pm2NdTe6
_chemical_formula_sum 'Ce6 Pm4 Nd2 Te12'
_cell_length_a 7.7304
_cell_length_b 13.4120
_cell_length_c 7.8177
_cell_angle_alpha 90.00
_cell_angle_beta 109.29
_cell_angle_gamma 90.00
_space_group_name_H-M_alt 'C 1 2/m 1'
_space_group_IT_number 12
loop_
_space_group_symop_operation_xyz
'x,y,z'
'-x,-y,-z'
'-x,y,-z'
'x,-y,z'
'x+1/2,y+1/2,z'
'-x+1/2,-y+1/2,-z'
'-x+1/2,y+1/2,-z'
'x+1/2,-y+1/2,z'
loop_
_atom_site_label
_atom_site_fract_x
_atom_site_fract_y
_atom_site_fract_z
Ce1 0.0000 0.0000 0.0000
Ce2 0.0000 0.3342 0.0000
Pm1 0.0000 0.1668 0.5000
Nd1 0.0000 0.5000 0.5000
Te1 0.2478 0.0000 0.7482
Te2 0.2494 0.1674 0.2508
```

Calculated volume ... 765.1 Å³ per cell
Formation energy without anion corrections ... -1.3986 eV/atom
Total moment ... 3.4 μB/f.u.